No. 1
Below is a relaxed structure of Y4ScZn, with properties calculated at the GGA-PBE level.

- offset from the most stable computed form (meV per atom) = 513.0
- E_tot (eV/cell) = -30.9
- ΔH_f (0 K) (eV per atom) = 0.424

a b c (Å): 6.3232 6.3232 6.3232
angles (deg): 60.00 60.00 60.00
Last column: nearest neighbours and their distance in Å.
Fractional positions:
Y  0.3756  0.3756  0.3756  6 Y 3.15-3.18
Y  0.3756  0.3756  0.8733  6 Y 3.15-3.18
Y  0.3756  0.8733  0.3756  6 Y 3.15-3.18
Y  0.8733  0.3756  0.3756  6 Y 3.15-3.18
Sc  0.7500  0.7500  0.7500  12 Y 3.71, 4 Zn 3.87
Zn  0.0000  0.0000  0.0000  12 Y 3.71, 4 Sc 3.87

No. 2
Below is a relaxed structure of YScZn, with properties calculated at the GGA-PBE level.

- offset from the most stable computed form (meV per atom) = 67.8
- E_tot (eV/cell) = -29.3
- ΔH_f (0 K) (eV per atom) = -0.187

a b c (Å): 5.9263 5.9263 6.2941
angles (deg): 118.04 118.04 47.98
Last column: nearest neighbours and their distance in Å.
Fractional positions:
Y  0.0000  0.0000  0.0000  5 Zn 2.96-3.31, 1 Sc 3.19
Y  0.6350  0.6350  0.7944  3 Zn 2.91-3.14
Sc  0.2736  0.2736  0.5847  3 Zn 2.94-3.02, 2 Sc 3.28
Sc  0.9032  0.9032  0.4008  3 Zn 2.89, 1 Y 3.19
Zn  0.3299  0.3299  0.1073  1 Zn 2.65, 2 Sc 2.89
Zn  0.6142  0.6142  0.3152  1 Zn 2.65, 3 Sc 2.89-2.94, 3 Y 2.91-2.96

No. 3
Below is a relaxed structure of YScZn, with properties calculated at the GGA-PBE level.

- offset from the most stable computed form (meV per atom) = 83.6
- E_tot (eV/cell) = -29.2
- ΔH_f (0 K) (eV per atom) = -0.172

a b c (Å): 5.7664 5.7664 5.7664
angles (deg): 117.17 96.78 115.17
Last column: nearest neighbours and their distance in Å.
Fractional positions:
Y  0.1426  0.2500  0.3926  4 Zn 3.15-3.24, 4 Sc 3.31-3.48, 2 Y 3.50
Y  0.8574  0.7500  0.6074  4 Zn 3.15-3.24, 4 Sc 3.31-3.48, 2 Y 3.50
Sc  0.4873  0.9566  0.0307  4 Zn 2.83-2.96, 2 Sc 3.13
Sc  0.9260  0.4566  0.9693  4 Zn 2.83-2.96, 2 Sc 3.13
Zn  0.4288  0.4288  0.0000  4 Sc 2.83-2.96, 2 Zn 3.01, 2 Y 3.15
Zn  0.4288  0.9288  0.5000  4 Sc 2.83-2.96, 2 Zn 3.01, 2 Y 3.15

No. 4
Below is a relaxed structure of Y2ScZn, with properties calculated at the GGA-PBE level.

- E_tot (eV/cell) = -20.9
- ΔH_f (0 K) (eV per atom) = -0.092

a b c (Å): 6.3209 6.3209 6.3209
angles (deg): 146.07 132.65 59.53
Last column: nearest neighbours and their distance in Å.
Fractional positions:
Y  0.2132  0.2132  0.0000  2 Zn 2.98, 4 Y 3.24
Y  0.7868  0.7868  0.0000  2 Zn 2.98, 4 Y 3.24
Sc  0.5000  0.0000  0.5000  4 Zn 3.14, 4 Y 3.45
Zn  0.0000  0.5000  0.5000  4 Y 2.98, 4 Sc 3.14